1.
# Nd3Sm12Cd (PBE-GGA, relaxed)
data_Nd3Sm12Cd
_cell_length_a 5.0851
_cell_length_b 5.0851
_cell_length_c 20.5184
_cell_angle_alpha 90.00
_cell_angle_beta 90.00
_cell_angle_gamma 90.00
_space_group_name_H-M_alt 'P 4/m m m'
_space_group_IT_number 123
_space_group_name_Hall '-P 4 2'
loop_
_atom_site_label
_atom_site_fract_x
_atom_site_fract_y
_atom_site_fract_z
_atom_site_occupancy
Nd1 0.0000 0.0000 0.0000 1
Nd2 0.0000 0.0000 0.2535 1
Sm1 0.0000 0.5000 0.1270 1
Sm2 0.0000 0.5000 0.3800 1
Sm3 0.5000 0.5000 0.0000 1
Sm4 0.5000 0.5000 0.2565 1
Sm5 0.5000 0.5000 0.5000 1
Cd1 0.0000 0.0000 0.5000 1
# Energy of formation, eV per atom: -0.01
# Total magnetic moment, μB/f.u.: 0.00

2.
# In4Sn5Pb2 (PBE-GGA, relaxed)
data_In4Sn5Pb2
_cell_length_a 22.9564
_cell_length_b 3.3228
_cell_length_c 8.3122
_cell_angle_alpha 90.00
_cell_angle_beta 96.90
_cell_angle_gamma 90.00
_space_group_name_H-M_alt 'C 1 2/m 1'
_space_group_IT_number 12
_space_group_name_Hall '-C 2y'
loop_
_atom_site_label
_atom_site_fract_x
_atom_site_fract_y
_atom_site_fract_z
_atom_site_occupancy
In1 0.0488 0.0000 0.3454 1
In2 0.1868 0.5000 0.4163 1
Sn1 0.0000 0.5000 0.0000 1
Sn2 0.1332 0.0000 0.0617 1
Sn3 0.2285 0.5000 0.8283 1
Pb1 0.0877 0.5000 0.7055 1
# Energy of formation, eV per atom: 0.04
# Total magnetic moment, μB/f.u.: 0.00